LaPbSe4 after structural relaxation. Source: Alexandria via LeMat-Bulk, functional PBE-GGA.

Lattice parameters (Å, degrees): 5.941 5.941 5.941 60.00 60.00 60.00
Fractional coordinates of all 6 atoms:
La  0.000  0.000  0.000
Pb  0.750  0.750  0.750
Se  0.374  0.374  0.374
Se  0.374  0.374  0.877
Se  0.374  0.877  0.374
Se  0.877  0.374  0.374

Computed properties:
- Crystal system: cubic
- DOS(E_F): 8.0 states/eV/f.u.
- Magnetic moment: 0.0 μB/f.u.
- ΔE_f (raw): -0.22 eV per atom
- ρ: 7.41 g cm⁻³
- E_tot: -3.984 eV per atom